A) The following is a DFT calculation (PBE-GGA) of a relaxed RbLuTe3Pd crystal.

POSCAR file:
```
RbLuTe3Pd
1.0
9.826 0.000 0.000
0.000 4.289 0.000
-4.527 0.000 9.715
Lu Pd Rb Te
2 2 2 6
direct
0.315 0.250 0.357
0.685 0.750 0.643
0.100 0.750 0.116
0.900 0.250 0.884
0.771 0.250 0.245
0.229 0.750 0.755
0.198 0.250 0.034
0.525 0.750 0.335
0.104 0.750 0.369
0.896 0.250 0.631
0.475 0.250 0.665
0.802 0.750 0.966
```

Values from the calculation:
The volume is 34.12 Å³ per atom. Its crystal system is monoclinic. For the size of the total moment, the calculation gives 0.00 μB per cell.

B) The following is a DFT calculation (PBE-GGA) of a relaxed RbLuTe3Pd crystal.

POSCAR file:
```
RbLuTe3Pd
1.0
2.194 -9.119 0.000
2.194 9.119 0.000
0.000 0.000 10.031
Lu Pd Rb Te
2 2 2 6
direct
0.500 0.500 0.000
0.500 0.500 0.500
0.004 0.996 0.250
0.996 0.004 0.750
0.255 0.745 0.250
0.745 0.255 0.750
0.892 0.108 0.082
0.594 0.406 0.250
0.892 0.108 0.418
0.108 0.892 0.582
0.406 0.594 0.750
0.108 0.892 0.918
```

Values from the calculation:
The volume is 33.44 Å³ per atom. Its crystal system is orthorhombic. For the size of the total moment, the calculation gives 0.00 μB per cell.

Top of the stability list: B), leading by 24 meV/atom.

A) The following is a DFT calculation (PBE-GGA) of a relaxed LuRePd crystal.

POSCAR file:
```
LuRePd
1.0
-1.020 0.945 4.286
-3.568 2.583 0.949
-3.658 -1.821 1.899
Lu Pd Re
1 1 1
direct
0.000 0.000 0.000
0.250 0.250 0.250
0.750 0.750 0.750
```

Values from the calculation:
The volume is 21.56 Å³ per atom. Its crystal system is cubic. For the size of the total moment, the calculation gives 2.52 μB per cell.

B) The following is a DFT calculation (PBE-GGA) of a relaxed LuRePd crystal.

POSCAR file:
```
LuRePd
1.0
0.000 3.160 3.160
3.160 0.000 3.160
3.160 3.160 0.000
Lu Pd Re
1 1 1
direct
0.000 0.000 0.000
0.750 0.750 0.750
0.500 0.500 0.500
```

Values from the calculation:
The volume is 21.04 Å³ per atom. Its crystal system is cubic. For the size of the total moment, the calculation gives 1.98 μB per cell.

Top of the stability list: B), leading by 524 meV/atom.

A) The following is a DFT calculation (PBE-GGA) of a relaxed LuTlPdSe3 crystal.

POSCAR file:
```
LuTlPdSe3
1.0
8.312 0.000 0.000
0.000 3.992 0.000
-3.814 0.000 9.715
Lu Pd Se Tl
2 2 6 2
direct
0.308 0.250 0.353
0.692 0.750 0.647
0.093 0.750 0.108
0.907 0.250 0.892
0.228 0.250 0.047
0.066 0.750 0.344
0.554 0.750 0.363
0.446 0.250 0.637
0.934 0.250 0.656
0.772 0.750 0.953
0.739 0.250 0.215
0.261 0.750 0.785
```

Values from the calculation:
The volume is 26.86 Å³ per atom. Its crystal system is monoclinic. For the size of the total moment, the calculation gives 0.01 μB per cell.

B) The following is a DFT calculation (PBE-GGA) of a relaxed LuTlPdSe3 crystal.

POSCAR file:
```
LuTlPdSe3
1.0
-9.183 -11.320 -3.568
-0.178 -1.063 3.832
-8.386 6.369 1.377
Lu Pd Se Tl
4 4 12 4
direct
0.022 0.250 0.162
0.522 0.250 0.338
0.478 0.750 0.662
0.978 0.750 0.838
0.505 0.750 0.096
0.005 0.750 0.404
0.995 0.250 0.596
0.495 0.250 0.904
0.902 0.750 0.075
0.407 0.250 0.112
0.138 0.750 0.247
0.638 0.750 0.253
0.907 0.250 0.388
0.402 0.750 0.425
0.598 0.250 0.575
0.093 0.750 0.612
0.362 0.250 0.747
0.862 0.250 0.753
0.593 0.750 0.888
0.098 0.250 0.925
0.738 0.250 0.046
0.238 0.250 0.454
0.762 0.750 0.546
0.262 0.750 0.954
```

Values from the calculation:
The volume is 26.43 Å³ per atom. Its crystal system is orthorhombic. For the size of the total moment, the calculation gives 0.02 μB per cell.

Top of the stability list: B), leading by 7 meV/atom.

A) The following is a DFT calculation (PBE-GGA) of a relaxed TbLuSi2Pd crystal.

POSCAR file:
```
TbLuSi2Pd
1.0
5.174 -2.124 0.000
5.174 2.124 0.000
-4.771 0.000 8.873
Lu Pd Si Tb
2 2 4 2
direct
0.815 0.815 0.394
0.185 0.185 0.606
0.276 0.276 0.145
0.724 0.724 0.855
0.635 0.635 0.066
0.521 0.521 0.389
0.479 0.479 0.611
0.365 0.365 0.934
0.999 0.999 0.179
0.001 0.001 0.821
```

Values from the calculation:
The volume is 19.51 Å³ per atom. Its crystal system is monoclinic. For the size of the total moment, the calculation gives 0.78 μB per cell.

B) The following is a DFT calculation (PBE-GGA) of a relaxed TbLuSi2Pd crystal.

POSCAR file:
```
TbLuSi2Pd
1.0
5.213 -2.110 0.000
5.213 2.110 0.000
-4.626 0.000 8.838
Lu Pd Si Tb
2 2 4 2
direct
0.997 0.997 0.174
0.003 0.003 0.826
0.274 0.274 0.136
0.726 0.726 0.864
0.631 0.631 0.066
0.518 0.518 0.383
0.482 0.482 0.617
0.369 0.369 0.934
0.813 0.813 0.393
0.187 0.187 0.607
```

Values from the calculation:
The volume is 19.44 Å³ per atom. Its crystal system is monoclinic. For the size of the total moment, the calculation gives 0.78 μB per cell.

Top of the stability list: B), leading by 10 meV/atom.

A) The following is a DFT calculation (PBE-GGA) of a relaxed SrLuTe3Pd crystal.

POSCAR file:
```
SrLuTe3Pd
1.0
14.374 0.000 0.000
0.000 4.319 0.000
0.000 0.000 11.470
Lu Pd Sr Te
4 4 4 12
direct
0.480 0.750 0.173
0.980 0.750 0.327
0.020 0.250 0.673
0.520 0.250 0.827
0.991 0.250 0.094
0.491 0.250 0.406
0.509 0.750 0.594
0.009 0.750 0.906
0.779 0.750 0.051
0.279 0.750 0.449
0.721 0.250 0.551
0.221 0.250 0.949
0.605 0.250 0.069
0.101 0.750 0.115
0.344 0.250 0.239
0.844 0.250 0.261
0.601 0.750 0.385
0.105 0.250 0.431
0.895 0.750 0.569
0.399 0.250 0.615
0.156 0.750 0.739
0.656 0.750 0.761
0.899 0.250 0.885
0.395 0.750 0.931
```

Values from the calculation:
The volume is 29.67 Å³ per atom. Its crystal system is orthorhombic. For the size of the total moment, the calculation gives 0.02 μB per cell.

B) The following is a DFT calculation (PBE-GGA) of a relaxed SrLuTe3Pd crystal.

POSCAR file:
```
SrLuTe3Pd
1.0
-5.052 4.139 4.242
3.720 -1.050 -6.760
-8.202 -6.406 -3.518
Lu Pd Sr Te
2 2 2 6
direct
0.500 0.500 0.000
0.500 0.500 0.500
0.971 0.029 0.250
0.029 0.971 0.750
0.264 0.736 0.250
0.736 0.264 0.750
0.859 0.141 0.053
0.584 0.416 0.250
0.859 0.141 0.447
0.141 0.859 0.553
0.416 0.584 0.750
0.141 0.859 0.947
```

Values from the calculation:
The volume is 28.84 Å³ per atom. Its crystal system is orthorhombic. For the size of the total moment, the calculation gives 0.00 μB per cell.

Top of the stability list: A), leading by 24 meV/atom.

A) The following is a DFT calculation (PBE-GGA) of a relaxed LuTcPd crystal.

POSCAR file:
```
LuTcPd
1.0
-2.685 -2.574 2.508
-1.531 1.520 3.933
-4.334 1.061 0.461
Lu Pd Tc
1 1 1
direct
0.000 0.000 0.000
0.250 0.250 0.250
0.750 0.750 0.750
```

Values from the calculation:
The volume is 21.28 Å³ per atom. Its crystal system is cubic. For the size of the total moment, the calculation gives 2.32 μB per cell.

B) The following is a DFT calculation (PBE-GGA) of a relaxed LuTcPd crystal.

POSCAR file:
```
LuTcPd
1.0
-4.480 -0.242 -0.125
-2.402 0.961 3.668
-2.455 3.754 0.155
Lu Pd Tc
1 1 1
direct
0.250 0.250 0.250
0.000 0.000 0.000
0.750 0.750 0.750
```

Values from the calculation:
The volume is 21.31 Å³ per atom. Its crystal system is cubic. For the size of the total moment, the calculation gives 2.26 μB per cell.

Top of the stability list: B), leading by 402 meV/atom.